No. 1
DFT (GGA-PBE) results for a relaxed structure of NaSn2Cl4.

Computed properties:
Its crystal system is tetragonal. The total energy comes out at -22.6 eV/cell. The density of states at the Fermi level is 3.6 states/eV per cell.

Lattice parameters (Å, degrees): 6.7465 6.7465 6.7465 112.80 112.80 102.99
Closest atoms and distances in Å follow each position.
Atoms (fractional coordinates):
Cl 0.6835 0.8135 0.4970  1 Na 2.71, 2 Sn 2.87
Sn 0.7500 0.2500 0.5000  4 Cl 2.87
Na 0.5000 0.5000 0.0000  4 Cl 2.71
Cl 0.8135 0.3165 0.1301  1 Na 2.71, 2 Sn 2.87
Sn 0.2500 0.7500 0.5000  4 Cl 2.87
Cl 0.3165 0.1865 0.5030  1 Na 2.71, 2 Sn 2.87
Cl 0.1865 0.6835 0.8699  1 Na 2.71, 2 Sn 2.87

No. 2
DFT (GGA-PBE) results for a relaxed structure of Th3Si3Ru2.

Computed properties:
Its crystal system is orthorhombic. The total energy comes out at -125.5 eV/cell. The density of states at the Fermi level is 13.7 states/eV per cell.

Lattice parameters (Å, degrees): 4.2100 5.8175 14.7442 90.00 90.00 111.21
Closest atoms and distances in Å follow each position.
Atoms (fractional coordinates):
Si 0.3566 0.7133 0.2500  2 Ru 2.58
Th 0.3512 0.7024 0.7500  4 Ru 3.03, 5 Si 3.08-3.18
Ru 0.7868 0.5737 0.8900  4 Si 2.47-2.58
Ru 0.7868 0.5737 0.6100  4 Si 2.47-2.58
Si 0.3482 0.6963 0.5342  3 Ru 2.47-2.58
Th 0.6488 0.2976 0.2500  4 Ru 3.03, 5 Si 3.08-3.18
Ru 0.2132 0.4263 0.1100  4 Si 2.47-2.58
Si 0.3482 0.6963 0.9658  3 Ru 2.47-2.58
Si 0.6434 0.2867 0.7500  2 Ru 2.58
Si 0.6518 0.3037 0.4658  3 Ru 2.47-2.58
Th 0.0686 0.1372 0.8922  3 Ru 3.06-3.17, 7 Si 3.08-3.37
Th 0.9314 0.8628 0.1078  3 Ru 3.06-3.17, 7 Si 3.08-3.37
Ru 0.2132 0.4263 0.3900  4 Si 2.47-2.58
Th 0.0686 0.1372 0.6078  3 Ru 3.06-3.17, 7 Si 3.08-3.37
Th 0.9314 0.8628 0.3922  3 Ru 3.06-3.17, 7 Si 3.08-3.37
Si 0.6518 0.3037 0.0342  3 Ru 2.47-2.58